Entry from the Alexandria database: crystalline SnAs3Cl at its relaxed geometry (PBE). Values from VASP.

SG	Pm-3m
energy relative to the elements, uncorrected	0.905	eV/atom
VASP energy	-3.055	eV/atom
excess energy over the best structure of this formula in the dataset	57	meV per atom

The structure in Quantum ESPRESSO input format:
```
&SYSTEM
  ibrav = 0, nat = 5, ntyp = 3
/
ATOMIC_SPECIES
Cl 35.45 Cl.upf
As 74.92 As.upf
Sn 118.71 Sn.upf
ATOMIC_POSITIONS crystal
Cl 0.500 0.500 0.500
As 0.000 0.000 0.500
As 0.000 0.500 0.000
As 0.500 0.000 0.000
Sn 0.000 0.000 0.000
CELL_PARAMETERS angstrom
-1.577 2.208 4.545
2.657 -3.688 2.713
4.298 3.090 -0.010
```

---

Entry from the Alexandria database: crystalline TaPdPt4 at its relaxed geometry (PBE). Values from VASP.

SG	Cmmm
formation energy	-50	kJ per mole of atoms
VASP energy	-7.391	eV/atom
excess energy over the best structure of this formula in the dataset	4	meV per atom

The structure in Quantum ESPRESSO input format:
```
&SYSTEM
  ibrav = 0, nat = 6, ntyp = 3
/
ATOMIC_SPECIES
Pd 106.42 Pd.upf
Pt 195.08 Pt.upf
Ta 180.95 Ta.upf
ATOMIC_POSITIONS crystal
Pd 0.000 0.000 0.000
Pt 0.336 0.000 0.672
Pt 0.664 0.000 0.328
Pt 0.158 0.500 0.317
Pt 0.842 0.500 0.683
Ta 0.500 0.500 0.000
CELL_PARAMETERS angstrom
-3.417 1.842 -0.785
0.724 -0.336 -3.937
-1.105 -6.171 0.324
```

---

Entry from the Alexandria database: crystalline K2LiP2Se6 at its relaxed geometry (PBE). Values from VASP.

SG	C2/m
energy relative to the elements, uncorrected	-0.584	eV/atom
VASP energy	-3.842	eV/atom

The structure in Quantum ESPRESSO input format:
```
&SYSTEM
  ibrav = 0, nat = 11, ntyp = 4
/
ATOMIC_SPECIES
P 30.97 P.upf
Se 78.96 Se.upf
K 39.10 K.upf
Li 6.94 Li.upf
ATOMIC_POSITIONS crystal
P 0.974 0.948 0.841
P 0.026 0.052 0.159
Se 0.798 0.126 0.802
Se 0.206 0.412 0.303
Se 0.794 0.588 0.697
Se 0.672 0.874 0.198
Se 0.202 0.874 0.198
Se 0.328 0.126 0.802
K 0.287 0.575 0.780
K 0.713 0.425 0.220
Li 0.500 0.000 0.500
CELL_PARAMETERS angstrom
6.699 0.000 0.000
-3.350 6.594 0.221
0.000 -3.586 7.108
```

---

Entry from the Alexandria database: crystalline Tl2HIrPb at its relaxed geometry (PBE). Values from VASP.

SG	P4/mmm
VASP energy	-3.702	eV/atom

The structure in Quantum ESPRESSO input format:
```
&SYSTEM
  ibrav = 0, nat = 5, ntyp = 4
/
ATOMIC_SPECIES
Tl 204.38 Tl.upf
Pb 207.20 Pb.upf
H 1.01 H.upf
Ir 192.22 Ir.upf
ATOMIC_POSITIONS crystal
Tl 0.500 0.000 0.000
Tl 0.000 0.000 0.500
Pb 0.500 0.500 0.500
H 0.000 0.000 0.000
Ir 0.000 0.500 0.000
CELL_PARAMETERS angstrom
-4.895 2.335 0.253
-0.941 -2.247 2.546
1.848 3.469 3.745
```

---

- Which of these has the highest VASP energy?
  SnAs3Cl

---

- Which formula does entry 4 have?
  Tl2HIrPb